1.
VASP calculation (PBE) on a geometry-optimized AlBi2O structure.

N(E_F): 5.70 states/eV per cell
Space group: I-42d
Density: 7.1 g/cm³

Cell: 5.660 5.660 7.863 Å, 68.90 68.90 90.00°
Element x y z (fractional)
O 0.500 0.500 0.000
O 0.250 0.750 0.500
Bi 0.375 0.455 0.750
Bi 0.875 0.795 0.750
Bi 0.545 0.125 0.250
Bi 0.205 0.625 0.250
Al 0.000 0.000 0.000
Al 0.750 0.250 0.500

2.
VASP calculation (PBE) on a geometry-optimized AlBi2O structure.

N(E_F): 1.94 states/eV per cell
Space group: Fm-3m
Density: 9.3 g/cm³

Cell: 4.887 4.887 4.887 Å, 60.00 60.00 60.00°
Element x y z (fractional)
Bi 0.250 0.250 0.250
Bi 0.750 0.750 0.750
Al 0.500 0.500 0.500
O 0.000 0.000 0.000

Least stable of them? 2.

1.
VASP calculation (PBE) on a geometry-optimized AlBiP structure.

N(E_F): 1.85 states/eV per cell
Space group: P-1
Density: 5.2 g/cm³

Cell: 3.689 5.883 8.922 Å, 104.55 78.74 71.57°
Element x y z (fractional)
P 0.935 0.774 0.353
P 0.065 0.226 0.647
Al 0.301 0.040 0.353
Al 0.699 0.960 0.647
Bi 0.732 0.686 0.865
Bi 0.268 0.314 0.135

2.
VASP calculation (PBE) on a geometry-optimized AlBiP structure.

N(E_F): 1.20 states/eV per cell
Space group: P3m1
Density: 6.5 g/cm³

Cell: 3.775 3.775 5.524 Å, 90.00 90.00 120.00°
Element x y z (fractional)
P 0.667 0.333 0.407
Bi 0.000 0.000 0.003
Al 0.333 0.667 0.590

Least stable of them? 2.

1.
VASP calculation (PBE) on a geometry-optimized AlBi2P2 structure.

N(E_F): 1.97 states/eV per cell
Space group: I4/mmm
Density: 6.4 g/cm³

Cell: 5.902 5.902 5.625 Å, 58.36 58.36 90.00°
Element x y z (fractional)
P 0.701 0.701 0.597
P 0.299 0.299 0.403
Al 0.000 0.000 0.000
Bi 0.750 0.250 0.500
Bi 0.250 0.750 0.500

2.
VASP calculation (PBE) on a geometry-optimized AlBi2P2 structure.

N(E_F): 4.68 states/eV per cell
Space group: P4/mbm
Density: 7.3 g/cm³

Cell: 7.625 7.625 3.992 Å, 90.00 90.00 90.00°
Element x y z (fractional)
P 0.665 0.165 0.000
P 0.165 0.335 0.000
P 0.835 0.665 0.000
P 0.335 0.835 0.000
Bi 0.843 0.343 0.500
Bi 0.657 0.843 0.500
Bi 0.343 0.157 0.500
Bi 0.157 0.657 0.500
Al 0.500 0.500 0.000
Al 0.000 0.000 0.000

Least stable of them? 2.

1.
VASP calculation (PBE) on a geometry-optimized AlBi2P structure.

N(E_F): 3.00 states/eV per cell
Space group: I-42d
Density: 5.8 g/cm³

Cell: 6.251 6.251 8.273 Å, 67.80 67.80 90.00°
Element x y z (fractional)
Bi 0.117 0.625 0.250
Bi 0.875 0.883 0.750
Bi 0.375 0.367 0.750
Bi 0.633 0.125 0.250
Al 0.250 0.750 0.500
Al 0.500 0.500 0.000
P 0.000 0.000 0.000
P 0.750 0.250 0.500

2.
VASP calculation (PBE) on a geometry-optimized AlBi2P structure.

N(E_F): 2.89 states/eV per cell
Space group: Fm-3m
Density: 8.2 g/cm³

Cell: 5.150 5.150 5.150 Å, 60.00 60.00 60.00°
Element x y z (fractional)
P 0.500 0.500 0.500
Al 0.000 0.000 0.000
Bi 0.250 0.250 0.250
Bi 0.750 0.750 0.750

Least stable of them? 2.

1.
VASP calculation (PBE) on a geometry-optimized AlBiPb3 structure.

N(E_F): 4.39 states/eV per cell
Space group: Pm-3m
Density: 6.4 g/cm³

Cell: 6.047 6.047 6.047 Å, 90.00 90.00 90.00°
Element x y z (fractional)
Pb 0.500 0.000 0.000
Pb 0.000 0.000 0.500
Pb 0.000 0.500 0.000
Al 0.500 0.500 0.500
Bi 0.000 0.000 0.000

2.
VASP calculation (PBE) on a geometry-optimized AlBiPb3 structure.

N(E_F): 2.32 states/eV per cell
Space group: Pm-3m
Density: 8.7 g/cm³

Cell: 5.462 5.462 5.462 Å, 90.00 90.00 90.00°
Element x y z (fractional)
Al 0.000 0.000 0.000
Pb 0.000 0.500 0.000
Pb 0.500 0.000 0.000
Pb 0.000 0.000 0.500
Bi 0.500 0.500 0.500

Least stable of them? 1.

1.
VASP calculation (PBE) on a geometry-optimized TiAl2BiPd structure.

N(E_F): 4.76 states/eV per cell
Space group: P4/mmm
Density: 5.9 g/cm³

Cell: 4.997 4.720 4.997 Å, 90.00 90.00 90.00°
Element x y z (fractional)
Al 0.500 0.000 0.000
Al 0.000 0.000 0.500
Pd 0.000 0.500 0.000
Ti 0.000 0.000 0.000
Bi 0.500 0.500 0.500

2.
VASP calculation (PBE) on a geometry-optimized TiAl2BiPd structure.

N(E_F): 4.09 states/eV per cell
Space group: P4/mmm
Density: 5.4 g/cm³

Cell: 4.964 5.209 4.964 Å, 90.00 90.00 90.00°
Element x y z (fractional)
Al 0.000 0.000 0.500
Al 0.500 0.000 0.000
Ti 0.000 0.000 0.000
Pd 0.500 0.500 0.500
Bi 0.000 0.500 0.000

Least stable of them? 2.